1.
# Cu2HgGe2

Crystalline Cu2HgGe2 at its relaxed geometry (PBE-GGA, Alexandria via LeMat-Bulk).

Properties
The space group is I4/mmm. For the total energy, the calculation gives -3.319 eV/atom. The energy of formation comes out at 226 meV/atom.

Unit cell a=4.187 b=4.187 c=5.958 alpha=69.43 beta=69.43 gamma=90.00
Positions (direct):
Cu: 0.750 0.250 0.500
Hg: 0.000 0.000 0.000
Cu: 0.250 0.750 0.500
Ge: 0.622 0.622 0.756
Ge: 0.378 0.378 0.244

***

2.
# U2Si7Ni12

Crystalline U2Si7Ni12 at its relaxed geometry (PBE-GGA, Alexandria via LeMat-Bulk).

Properties
The space group is P-6. For the total energy, the calculation gives -6.738 eV/atom.

Unit cell a=3.718 b=9.168 c=9.168 alpha=120.00 beta=90.00 gamma=90.00
Each line ends with the local moment (μB).
Positions (direct):
Si: 0.000 0.722 0.939  -0.01
U: 0.500 0.000 0.000  1.58
Si: 0.500 0.435 0.069  0.00
Ni: 0.500 0.239 0.776  0.02
Si: 0.000 0.061 0.784  -0.01
Ni: 0.000 0.785 0.725  -0.02
Ni: 0.500 0.537 0.761  0.02
Ni: 0.500 0.224 0.463  0.02
Ni: 0.000 0.478 0.946  0.03
Ni: 0.000 0.940 0.215  -0.02
Ni: 0.000 0.468 0.522  0.03
Ni: 0.500 0.910 0.615  0.03
Si: 0.500 0.635 0.565  0.00
U: 0.000 0.667 0.333  1.73
Ni: 0.500 0.385 0.294  0.03
Si: 0.000 0.333 0.667  0.01
Ni: 0.000 0.054 0.532  0.03
Ni: 0.000 0.275 0.060  -0.02
Si: 0.500 0.931 0.365  0.00
Ni: 0.500 0.706 0.090  0.03
Si: 0.000 0.216 0.278  -0.01

***

3.
# SmGePd4

Crystalline SmGePd4 at its relaxed geometry (PBE-GGA, Alexandria via LeMat-Bulk).

Properties
The space group is P4_2/nmc. For the total energy, the calculation gives -5.321 eV/atom. The energy of formation comes out at -303 meV/atom.

Unit cell a=5.359 b=5.359 c=8.836 alpha=90.00 beta=90.00 gamma=90.00
Positions (direct):
Pd: 0.763 0.500 0.284
Ge: 0.500 0.500 0.500
Pd: 0.000 0.737 0.784
Pd: 0.500 0.763 0.716
Pd: 0.263 0.000 0.216
Pd: 0.737 0.000 0.216
Sm: 0.500 0.500 0.000
Pd: 0.237 0.500 0.284
Pd: 0.000 0.263 0.784
Pd: 0.500 0.237 0.716
Sm: 0.000 0.000 0.500
Ge: 0.000 0.000 0.000

***

4.
# Sr3AlCd2

Crystalline Sr3AlCd2 at its relaxed geometry (PBE-GGA, Alexandria via LeMat-Bulk).

Properties
The space group is Cmmm. For the total energy, the calculation gives -2.020 eV/atom. The energy of formation comes out at -250 meV/atom.

Unit cell a=5.638 b=8.923 c=8.206 alpha=90.00 beta=90.00 gamma=71.58
Positions (direct):
Cd: 0.000 0.000 0.500
Al: 0.669 0.662 0.000
Sr: 0.168 0.664 0.755
Al: 0.331 0.338 0.000
Cd: 0.666 0.669 0.500
Cd: 0.334 0.331 0.500
Sr: 0.500 0.000 0.246
Sr: 0.832 0.336 0.245
Sr: 0.832 0.336 0.755
Sr: 0.500 0.000 0.754
Cd: 0.000 0.000 0.000
Sr: 0.168 0.664 0.245